Sm2Zr2O7 | SCAN | PBEsol geometry

Summary:
total magnetization = 0.000 μB per atom
SG = C2/m, No. 12
energy relative to the elements, uncorrected = -40.7 eV per formula unit
Fermi-level density of states = 0.0 states/eV/cell
crystal system = monoclinic

a b c (Å): 5.580 5.948 5.948
angles (deg): 107.75 95.84 95.84
Fractional coordinates of all 11 atoms:
O1 0.796 0.596 0.938
O2 0.204 0.062 0.404
Sm1 0.000 0.308 0.692
O3 0.796 0.938 0.596
O4 0.727 0.444 0.444
Zr1 0.598 0.743 0.743
O5 0.204 0.404 0.062
O6 0.273 0.556 0.556
O7 0.500 0.000 0.000
Sm2 0.000 0.692 0.308
Zr2 0.402 0.257 0.257

---

Sm2Zr2O7 | SCAN | PBEsol geometry

Summary:
total magnetization = 0.000 μB per atom
SG = Fd-3m, No. 227
energy relative to the elements, uncorrected = -42.0 eV per formula unit
Fermi-level density of states = 0.0 states/eV/cell
crystal system = cubic

a b c (Å): 7.466 7.466 7.466
angles (deg): 60.00 60.00 60.00
Fractional coordinates of all 22 atoms:
Sm1 0.125 0.625 0.125
Sm2 0.125 0.125 0.125
Sm3 0.625 0.125 0.125
O1 0.537 0.537 0.963
O2 0.287 0.713 0.287
Zr1 0.125 0.625 0.625
O3 0.287 0.287 0.713
O4 0.713 0.287 0.287
Zr2 0.625 0.625 0.125
O5 0.250 0.250 0.250
Zr3 0.625 0.125 0.625
O6 0.000 0.000 0.000
O7 0.963 0.963 0.537
O8 0.713 0.713 0.287
Zr4 0.625 0.625 0.625
O9 0.537 0.963 0.537
O10 0.713 0.287 0.713
O11 0.963 0.537 0.537
Sm4 0.125 0.125 0.625
O12 0.963 0.537 0.963
O13 0.537 0.963 0.963
O14 0.287 0.713 0.713

---

SnO2 | SCAN | PBEsol geometry

Summary:
total magnetization = 0.000 μB per atom
SG = Pbcn, No. 60
energy relative to the elements, uncorrected = -5.4 eV per formula unit
Fermi-level density of states = 0.0 states/eV/cell
crystal system = orthorhombic

a b c (Å): 4.736 5.770 15.962
angles (deg): 90.00 90.00 90.00
Fractional coordinates of all 36 atoms:
O1 0.772 0.300 0.305
Sn1 0.500 0.527 0.250
O2 0.291 0.124 0.029
O3 0.709 0.124 0.471
O4 0.228 0.700 0.695
O5 0.714 0.428 0.638
Sn2 0.000 0.973 0.750
O6 0.291 0.876 0.529
O7 0.228 0.300 0.195
O8 0.214 0.072 0.362
O9 0.791 0.624 0.471
O10 0.728 0.800 0.305
O11 0.214 0.928 0.862
Sn3 0.997 0.653 0.916
Sn4 0.000 0.027 0.250
O12 0.709 0.876 0.971
O13 0.272 0.200 0.695
Sn5 0.503 0.847 0.416
Sn6 0.497 0.153 0.584
O14 0.786 0.072 0.138
O15 0.286 0.428 0.862
O16 0.786 0.928 0.638
O17 0.272 0.800 0.195
O18 0.772 0.700 0.805
Sn7 0.497 0.847 0.084
O19 0.209 0.376 0.529
O20 0.791 0.376 0.971
Sn8 0.503 0.153 0.916
O21 0.209 0.624 0.029
Sn9 0.003 0.347 0.084
O22 0.714 0.572 0.138
O23 0.728 0.200 0.805
O24 0.286 0.572 0.362
Sn10 0.500 0.473 0.750
Sn11 0.997 0.347 0.416
Sn12 0.003 0.653 0.584

---

SnO2 | SCAN | PBEsol geometry

Summary:
total magnetization = 0.000 μB per atom
SG = I4_1/amd, No. 141
energy relative to the elements, uncorrected = -5.2 eV per formula unit
Fermi-level density of states = 0.0 states/eV/cell
crystal system = tetragonal

a b c (Å): 4.015 4.015 5.863
angles (deg): 110.02 110.02 90.00
Fractional coordinates of all 6 atoms:
Sn1 0.250 0.750 0.500
O1 0.047 0.547 0.094
O2 0.453 0.953 0.906
O3 0.203 0.203 0.406
O4 0.797 0.797 0.594
Sn2 0.000 0.000 0.000

---

Number 1: E_tot -21.324 eV/atom. Number 2: E_tot -21.444 eV/atom. Number 3: E_tot -17.928 eV/atom. Number 4: E_tot -17.849 eV/atom.